1.
Here is a relaxed structure of Y2AsO from the Alexandria database. Energies are from PBE.

Computed properties:
formation energy from raw total energies = -2.23 eV per atom

Lattice parameters (Å, degrees): 4.1864 3.8837 10.5015 90.00 90.00 90.00
Atoms (fractional coordinates):
Y1 0.7010 0.8591 0.2062
Y2 0.7010 0.3575 0.7135
Y3 0.2010 0.3591 0.0097
Y4 0.2010 0.8575 0.5024
As1 0.7010 0.3576 0.4335
As2 0.2010 0.8576 0.7825
O1 0.7010 0.3592 0.0916
O2 0.2010 0.8592 0.1244

---

2.
Here is a relaxed structure of YAsO2 from the Alexandria database. Energies are from PBE.

Computed properties:
formation energy from raw total energies = -1.52 eV per atom

Lattice parameters (Å, degrees): 5.4144 5.4144 6.3567 64.79 64.79 90.00
Atoms (fractional coordinates):
O1 0.0802 0.6250 0.2500
O2 0.3750 0.3302 0.7500
O3 0.6698 0.1250 0.2500
O4 0.8750 0.9198 0.7500
Y1 0.7500 0.2500 0.5000
Y2 0.0000 0.0000 0.0000
As1 0.5000 0.5000 0.0000
As2 0.2500 0.7500 0.5000

---

3.
Here is a relaxed structure of Y2AsO from the Alexandria database. Energies are from PBE.

Computed properties:
formation energy from raw total energies = -1.90 eV per atom

Lattice parameters (Å, degrees): 5.9022 5.9022 6.9455 64.86 64.86 90.00
Atoms (fractional coordinates):
Y1 0.5540 0.1250 0.2500
Y2 0.1960 0.6250 0.2500
Y3 0.3750 0.4460 0.7500
Y4 0.8750 0.8040 0.7500
As1 0.7500 0.2500 0.5000
As2 0.0000 0.0000 0.0000
O1 0.2500 0.7500 0.5000
O2 0.5000 0.5000 0.0000

---

4.
Here is a relaxed structure of YAsO3 from the Alexandria database. Energies are from PBE.

Computed properties:
formation energy from raw total energies = -1.02 eV per atom

Lattice parameters (Å, degrees): 4.3329 4.3329 4.3329 90.00 90.00 90.00
Last column: magnetic moment on the atom in μB.
Atoms (fractional coordinates):
Y1 0.5000 0.5000 0.5000  0.01
O1 0.5000 0.5000 0.0000  0.06
O2 0.0000 0.5000 0.5000  0.06
O3 0.5000 0.0000 0.5000  0.06
As1 0.0000 0.0000 0.0000  -0.03

---

5.
Here is a relaxed structure of Y3AsO from the Alexandria database. Energies are from PBE.

Computed properties:
formation energy from raw total energies = -1.38 eV per atom

Lattice parameters (Å, degrees): 4.6859 4.6859 4.6859 90.00 90.00 90.00
Atoms (fractional coordinates):
O1 0.0000 0.0000 0.0000
Y1 0.5000 0.0000 0.0000
Y2 0.0000 0.0000 0.5000
Y3 0.0000 0.5000 0.0000
As1 0.5000 0.5000 0.5000

---

6.
Here is a relaxed structure of Y3AsO7 from the Alexandria database. Energies are from PBE.

Computed properties:
formation energy from raw total energies = -2.88 eV per atom

Lattice parameters (Å, degrees): 6.3703 6.3703 7.3607 90.00 90.00 109.21
Atoms (fractional coordinates):
O1 0.9410 0.0590 0.2500
O2 0.6367 0.3633 0.2500
O3 0.3084 0.0688 0.4738
O4 0.9445 0.6991 0.4688
O5 0.0590 0.9410 0.7500
O6 0.6916 0.9312 0.9738
O7 0.9312 0.6916 0.0262
O8 0.6991 0.9445 0.5312
O9 0.3633 0.6367 0.7500
O10 0.3703 0.6297 0.2500
O11 0.0555 0.3009 0.9688
O12 0.6297 0.3703 0.7500
O13 0.0688 0.3084 0.5262
O14 0.3009 0.0555 0.0312
Y1 0.4818 0.4818 0.5000
Y2 0.9980 0.5352 0.7468
Y3 0.0020 0.4648 0.2468
Y4 0.5352 0.9980 0.2532
Y5 0.5182 0.5182 0.0000
Y6 0.4648 0.0020 0.7532
As1 0.0006 0.0006 0.0000
As2 0.9994 0.9994 0.5000

---

7.
Here is a relaxed structure of Y2AsO from the Alexandria database. Energies are from PBE.

Computed properties:
formation energy from raw total energies = -1.42 eV per atom

Lattice parameters (Å, degrees): 4.7474 4.7474 4.7474 60.00 60.00 60.00
Atoms (fractional coordinates):
Y1 0.7500 0.7500 0.7500
Y2 0.2500 0.2500 0.2500
As1 0.5000 0.5000 0.5000
O1 0.0000 0.0000 0.0000

---

8.
Here is a relaxed structure of YAsO from the Alexandria database. Energies are from PBE.

Computed properties:
formation energy from raw total energies = -2.10 eV per atom

Lattice parameters (Å, degrees): 3.5817 3.5705 15.4993 90.00 90.00 90.00
Atoms (fractional coordinates):
As1 0.2345 0.2500 0.5006
As2 0.2655 0.2500 0.0006
As3 0.7655 0.7500 0.4994
As4 0.7345 0.7500 0.9994
O1 0.2467 0.7500 0.6935
O2 0.2533 0.7500 0.1935
O3 0.7533 0.2500 0.3065
O4 0.7467 0.2500 0.8065
Y1 0.7619 0.2500 0.1626
Y2 0.7381 0.2500 0.6626
Y3 0.2619 0.7500 0.3374
Y4 0.2381 0.7500 0.8374

---

Number 1: final energy -7.863 eV per atom. Number 2: final energy -6.780 eV per atom. Number 3: final energy -7.537 eV per atom. Number 4: final energy -6.218 eV per atom. Number 5: final energy -7.184 eV per atom. Number 6: final energy -8.216 eV per atom. Number 7: final energy -7.055 eV per atom. Number 8: final energy -7.456 eV per atom.